Arrangement 1

This record from Alexandria describes a relaxed Th2SnP crystal. The functional is PBE-GGA.

Lattice parameters (Å, degrees): 4.0169 4.0169 24.6056 90.00 90.00 120.00
Space group R3m (No. 160, hexagonal axes)
Inequivalent atoms, fractional coordinates:
Th  0.0000  0.0000  0.0000 [3 per cell]
Th  0.0000  0.0000  0.1970 [3 per cell]
Sn  0.0000  0.0000  0.4313 [3 per cell]
P  0.0000  0.0000  0.5990 [3 per cell]



Arrangement 2

This record from Alexandria describes a relaxed Th2SnP crystal. The functional is PBE-GGA.

Lattice parameters (Å, degrees): 4.3123 4.3123 21.4929 90.00 90.00 120.00
Space group R-3m (No. 166, hexagonal axes)
Inequivalent atoms, fractional coordinates:
Th  0.0000  0.0000  0.2411 [6 per cell]
Sn  0.0000  0.0000  0.0000 [3 per cell]
P  0.0000  0.0000  0.5000 [3 per cell]



Winner for stability: arrangement 2



Arrangement 1

This record from Alexandria describes a relaxed TiSn3P crystal. The functional is PBE-GGA.

Lattice parameters (Å, degrees): 5.119 5.119 5.119 90.00 90.00 90.00
Space group Pm-3m (No. 221)
Inequivalent atoms, fractional coordinates:
Ti  0.000  0.000  0.000 [1 per cell]
Sn  0.000  0.500  0.500 [3 per cell]
P  0.500  0.500  0.500 [1 per cell]



Arrangement 2

This record from Alexandria describes a relaxed TiSn3P crystal. The functional is PBE-GGA.

Lattice parameters (Å, degrees): 5.275 5.275 5.275 90.00 90.00 90.00
Space group Pm-3m (No. 221)
Inequivalent atoms, fractional coordinates:
Ti  0.000  0.000  0.000 [1 per cell]
Sn  0.000  0.000  0.500 [3 per cell]
P  0.500  0.500  0.500 [1 per cell]



Winner for stability: arrangement 2



Arrangement 1

This record from Alexandria describes a relaxed Ti2SnP2 crystal. The functional is PBE-GGA.

Lattice parameters (Å, degrees): 7.139 7.139 3.251 90.00 90.00 90.00
Space group P4/mbm (No. 127)
Inequivalent atoms, fractional coordinates:
Ti  0.149  0.351  0.000 [4 per cell]
Sn  0.000  0.000  0.500 [2 per cell]
P  0.134  0.634  0.500 [4 per cell]



Arrangement 2

This record from Alexandria describes a relaxed Ti2SnP2 crystal. The functional is PBE-GGA.

Lattice parameters (Å, degrees): 7.162 7.162 3.258 90.00 90.00 90.00
Space group P4/mbm (No. 127)
Inequivalent atoms, fractional coordinates:
Ti  0.145  0.355  0.000 [4 per cell]
Sn  0.000  0.000  0.000 [2 per cell]
P  0.141  0.641  0.500 [4 per cell]



Winner for stability: arrangement 2